1.
Compound: TmAl2Ni
Source: Alexandria
Functional: PBE-GGA
Structure: relaxed

Cell lengths 3.0306, 3.0306, 7.2969 Å; angles 90.00, 90.00, 90.00 degrees
Last column: nearest neighbours and their distance in Å.
Atoms (fractional coordinates):
1 Tm 0.0000 0.0000 0.0000  4 Tm 3.03, 8 Al 3.12
2 Al 0.5000 0.5000 0.3108  4 Ni 2.55, 1 Al 2.76
3 Al 0.5000 0.5000 0.6892  4 Ni 2.55, 1 Al 2.76
4 Ni 0.0000 0.0000 0.5000  8 Al 2.55

Summary:
ΔH_f (0 K) in eV per atom: -0.459

2.
Compound: Tm4AlNi
Source: Alexandria
Functional: PBE-GGA
Structure: relaxed

Cell lengths 7.4948, 7.4948, 5.9361 Å; angles 99.50, 99.50, 111.03 degrees
Last column: nearest neighbours and their distance in Å.
Atoms (fractional coordinates):
1 Tm 0.0556 0.7218 0.9554  2 Ni 2.69-2.71
2 Tm 0.2080 0.3750 0.6041  2 Ni 2.92-3.04, 2 Al 3.09-3.16
3 Tm 0.2782 0.9444 0.5446  2 Ni 2.69-2.71
4 Tm 0.3750 0.2080 0.1041  2 Ni 2.92-3.04, 2 Al 3.09-3.16
5 Tm 0.6250 0.7920 0.8959  2 Ni 2.92-3.04, 2 Al 3.09-3.16
6 Tm 0.7218 0.0556 0.4554  2 Ni 2.69-2.71
7 Tm 0.7920 0.6250 0.3959  2 Ni 2.92-3.04, 2 Al 3.09-3.16
8 Tm 0.9444 0.2782 0.0446  2 Ni 2.69-2.71
9 Al 0.3763 0.6237 0.2500  8 Tm 3.09-3.21
10 Al 0.6237 0.3763 0.7500  8 Tm 3.09-3.21
11 Ni 0.0018 0.9982 0.7500  6 Tm 2.69-2.92, 2 Ni 2.97
12 Ni 0.9982 0.0018 0.2500  6 Tm 2.69-2.92, 2 Ni 2.97

Summary:
ΔH_f (0 K) in eV per atom: -0.265

3.
Compound: Tm5AlNi
Source: Alexandria
Functional: PBE-GGA
Structure: relaxed

Cell lengths 6.3416, 6.3416, 10.8852 Å; angles 105.68, 105.68, 62.51 degrees
Last column: nearest neighbours and their distance in Å.
Atoms (fractional coordinates):
1 Tm 0.0243 0.9757 0.7500  2 Ni 2.73
2 Tm 0.0409 0.4003 0.6415  1 Ni 2.68
3 Tm 0.2135 0.5452 0.9583  1 Ni 2.53
4 Tm 0.4003 0.0409 0.1415  1 Ni 2.68
5 Tm 0.4548 0.7865 0.5417  1 Ni 2.53
6 Tm 0.5452 0.2135 0.4583  1 Ni 2.53
7 Tm 0.5997 0.9591 0.8585  1 Ni 2.68
8 Tm 0.7865 0.4548 0.0417  1 Ni 2.53
9 Tm 0.9591 0.5997 0.3585  1 Ni 2.68
10 Tm 0.9757 0.0243 0.2500  2 Ni 2.73
11 Al 0.4696 0.5304 0.2500  8 Tm 3.16-3.33
12 Al 0.5304 0.4696 0.7500  8 Tm 3.16-3.33
13 Ni 0.0000 0.0000 0.0000  6 Tm 2.53-2.73
14 Ni 0.0000 0.0000 0.5000  6 Tm 2.53-2.73

Summary:
ΔH_f (0 K) in eV per atom: -0.082

4.
Compound: TmAl12Ni4
Source: Alexandria
Functional: PBE-GGA
Structure: relaxed

Cell lengths 7.4093, 7.4093, 7.4093 Å; angles 109.47, 109.47, 109.47 degrees
Last column: nearest neighbours and their distance in Å.
Atoms (fractional coordinates):
1 Tm 0.0000 0.0000 0.0000  12 Al 3.24
2 Al 0.1377 0.8105 0.3272  2 Ni 2.30
3 Al 0.1895 0.3272 0.5167  2 Ni 2.30
4 Al 0.1895 0.6728 0.8623  2 Ni 2.30
5 Al 0.3272 0.1377 0.8105  2 Ni 2.30
6 Al 0.3272 0.5167 0.1895  2 Ni 2.30
7 Al 0.4833 0.8105 0.6728  2 Ni 2.30
8 Al 0.5167 0.1895 0.3272  2 Ni 2.30
9 Al 0.6728 0.4833 0.8105  2 Ni 2.30
10 Al 0.6728 0.8623 0.1895  2 Ni 2.30
11 Al 0.8105 0.3272 0.1377  2 Ni 2.30
12 Al 0.8105 0.6728 0.4833  2 Ni 2.30
13 Al 0.8623 0.1895 0.6728  2 Ni 2.30
14 Ni 0.0000 0.0000 0.5000  6 Al 2.30
15 Ni 0.0000 0.5000 0.0000  6 Al 2.30
16 Ni 0.5000 0.0000 0.0000  6 Al 2.30
17 Ni 0.5000 0.5000 0.5000  6 Al 2.30

Summary:
ΔH_f (0 K) in eV per atom: -0.088

5.
Compound: Tm6AlNi2
Source: Alexandria
Functional: PBE-GGA
Structure: relaxed

Cell lengths 8.2181, 8.2181, 8.2181 Å; angles 112.33, 110.20, 105.95 degrees
Last column: nearest neighbours and their distance in Å.
Atoms (fractional coordinates):
1 Tm 0.0395 0.2371 0.8024  1 Ni 2.72, 1 Al 2.99
2 Tm 0.1821 0.2849 0.4670  3 Ni 2.87-3.02, 1 Al 3.12
3 Tm 0.1821 0.7151 0.8972  3 Ni 2.87-3.02, 1 Al 3.12
4 Tm 0.3253 0.0196 0.6943  3 Ni 2.69-2.88
5 Tm 0.3253 0.6310 0.3057  3 Ni 2.69-2.88
6 Tm 0.4347 0.2371 0.1976  1 Ni 2.72, 1 Al 2.99
7 Tm 0.5653 0.7629 0.8024  1 Ni 2.72, 1 Al 2.99
8 Tm 0.6747 0.3690 0.6943  3 Ni 2.69-2.88
9 Tm 0.6747 0.9804 0.3057  3 Ni 2.69-2.88
10 Tm 0.8179 0.2849 0.1028  3 Ni 2.87-3.02, 1 Al 3.12
11 Tm 0.8179 0.7151 0.5330  3 Ni 2.87-3.02, 1 Al 3.12
12 Tm 0.9605 0.7629 0.1976  1 Ni 2.72, 1 Al 2.99
13 Al 0.0000 0.0000 0.0000  8 Tm 2.99-3.12, 2 Ni 3.24
14 Al 0.5000 0.5000 0.0000  12 Tm 3.20-3.58
15 Ni 0.1217 0.6217 0.5000  1 Ni 2.41, 2 Tm 2.69
16 Ni 0.3440 0.0000 0.3440  8 Tm 2.72-3.02, 1 Ni 2.93
17 Ni 0.6560 0.0000 0.6560  8 Tm 2.72-3.02, 1 Ni 2.93
18 Ni 0.8783 0.3783 0.5000  1 Ni 2.41, 2 Tm 2.69

Summary:
ΔH_f (0 K) in eV per atom: -0.358

6.
Compound: Tm3AlNi3
Source: Alexandria
Functional: PBE-GGA
Structure: relaxed

Cell lengths 5.3161, 5.3161, 13.0156 Å; angles 90.00, 90.00, 135.05 degrees
Last column: nearest neighbours and their distance in Å.
Atoms (fractional coordinates):
1 Tm 0.0073 0.9927 0.7500  7 Ni 2.87-3.00
2 Tm 0.2898 0.7102 0.6049  6 Ni 2.84-2.91, 1 Al 3.16
3 Tm 0.2898 0.7102 0.8951  6 Ni 2.84-2.91, 1 Al 3.16
4 Tm 0.7102 0.2898 0.1049  6 Ni 2.84-2.91, 1 Al 3.16
5 Tm 0.7102 0.2898 0.3951  6 Ni 2.84-2.91, 1 Al 3.16
6 Tm 0.9927 0.0073 0.2500  7 Ni 2.87-3.00
7 Al 0.0000 0.0000 0.0000  4 Ni 2.47
8 Al 0.0000 0.0000 0.5000  4 Ni 2.47
9 Ni 0.2867 0.7133 0.2500  2 Ni 2.47
10 Ni 0.4215 0.5785 0.0894  2 Al 2.47, 1 Ni 2.47
11 Ni 0.4215 0.5785 0.4106  2 Al 2.47, 1 Ni 2.47
12 Ni 0.5785 0.4215 0.5894  2 Al 2.47, 1 Ni 2.47
13 Ni 0.5785 0.4215 0.9106  2 Al 2.47, 1 Ni 2.47
14 Ni 0.7133 0.2867 0.7500  2 Ni 2.47

Summary:
ΔH_f (0 K) in eV per atom: -0.552

- ΔH_f (0 K) of number 3 (Tm5AlNi)?
  -0.082 eV per atom

- Among the records above, which one has the lowest ΔH_f (0 K)?
  Tm3AlNi3

- Which of these has the lowest ΔH_f (0 K)?
  Tm3AlNi3